The following is a DFT calculation (PBE) of a relaxed structure of PrMgH5.

Summary:
For the total DFT energy (no corrections), the calculation gives -3.601 eV/atom. For the total magnetization, the calculation gives 0.00 μB per formula unit.

abc: 7.3700 5.3301 7.9786
angles: 90.00 107.17 90.00
Closest atoms and distances in Å follow each position.
Space group C2/c (No. 15)
Unique sites:
Pr  0.0000  0.0075  0.2500  9 H 2.30-2.52
Mg  0.0000  0.5000  0.0000  6 H 1.90-2.03
H  0.0000  0.4249  0.7500  2 Mg 2.03
H  0.1105  0.1742  0.5307  1 Mg 1.90
H  0.2096  0.3046  0.1446  1 Mg 1.94



The following is a DFT calculation (PBE) of a relaxed structure of Tb2CeBi.

Summary:
As for the energy above the lowest structure with this stoichiometry: 0 meV per atom. For the total magnetization, the calculation gives 0.58 μB per formula unit.

abc: 4.9448 4.9448 4.7085
angles: 90.00 90.00 90.00
Closest atoms and distances in Å follow each position.
Space group P4/mmm (No. 123)
Unique sites:
Tb  0.0000  0.5000  0.0000  4 Ce 3.41, 4 Bi 3.41, 4 Tb 3.50
Ce  0.0000  0.0000  0.5000  8 Tb 3.41, 4 Bi 3.50
Bi  0.5000  0.5000  0.5000  8 Tb 3.41, 4 Ce 3.50



The following is a DFT calculation (PBE) of a relaxed structure of Cd5Cu3Cl12.

Summary:
The formation energy (no corrections) comes out at -690.2 meV per atom. For the total magnetization, the calculation gives 0.00 μB per formula unit.

abc: 16.1565 16.1565 16.1565
angles: 90.00 90.00 90.00
Closest atoms and distances in Å follow each position.
Space group Ia-3d (No. 230)
Unique sites:
Cd  0.0000  0.0000  0.0000  6 Cl 2.65
Cd  0.0000  0.2500  0.3750  4 Cl 2.76
Cu  0.0000  0.2500  0.1250  4 Cl 2.37
Cl  0.0156  0.0355  0.3406  1 Cu 2.37



The following is a DFT calculation (PBE) of a relaxed structure of Ho5Tm.

Summary:
For the total DFT energy (no corrections), the calculation gives -4.538 eV/atom. For the total magnetization, the calculation gives 0.00 μB per formula unit.

abc: 6.0841 10.5009 6.0822
angles: 90.00 109.42 90.00
Closest atoms and distances in Å follow each position.
Space group C2/m (No. 12)
Unique sites:
Ho  0.0000  0.0000  0.0000  10 Ho 3.50-3.51, 2 Tm 3.51
Ho  0.0000  0.1666  0.5000  9 Ho 3.50-3.51, 3 Tm 3.50-3.51
Ho  0.0000  0.3335  0.0000  10 Ho 3.50-3.51, 2 Tm 3.51
Tm  0.0000  0.5000  0.5000  12 Ho 3.50-3.51



Copy entry 2 word for word.
The following is a DFT calculation (PBE) of a relaxed structure of Tb2CeBi.

Summary:
As for the energy above the lowest structure with this stoichiometry: 0 meV per atom. For the total magnetization, the calculation gives 0.58 μB per formula unit.

abc: 4.9448 4.9448 4.7085
angles: 90.00 90.00 90.00
Closest atoms and distances in Å follow each position.
Space group P4/mmm (No. 123)
Unique sites:
Tb  0.0000  0.5000  0.0000  4 Ce 3.41, 4 Bi 3.41, 4 Tb 3.50
Ce  0.0000  0.0000  0.5000  8 Tb 3.41, 4 Bi 3.50
Bi  0.5000  0.5000  0.5000  8 Tb 3.41, 4 Ce 3.50